Density functional theory data (PBE) for crystalline CaCd2Ag at its relaxed geometry.

abc: 3.505 3.811 7.077
angles: 90.00 90.00 90.00
Fractional coordinates of all 4 atoms:
Cd1 0.000 0.000 0.024
Cd2 0.500 0.500 0.265
Ag1 0.000 0.000 0.473
Ca1 0.500 0.500 0.738

Results
Theoretical density: 6.55 g/cm3
Density of states at the Fermi level: 1.62 states/eV/cell
Energy relative to the elements: -196 meV per atom